## ScTlIn3 (PBE-GGA)

Data for a geometry-optimized ScTlIn3 structure.

Cell: 5.590 5.590 5.590 Å, 90.00 90.00 90.00°
Atoms (fractional coordinates):
Sc1 0.500 0.500 0.500
Tl1 0.000 0.000 0.000
In1 0.000 0.500 0.000
In2 0.000 0.000 0.500
In3 0.500 0.000 0.000

N(E_F) ... 4.35 states/eV/cell
Space-group type ... No. 221
ΔH_f (0 K) ... 0.664 eV per atom
Electronic total energy ... -2.72 eV/atom

***

## Sc2TlIn (PBE-GGA)

Data for a geometry-optimized Sc2TlIn structure.

Cell: 6.115 6.115 6.115 Å, 144.83 133.66 59.49°
Atoms (fractional coordinates):
Sc1 0.000 0.000 0.000
Sc2 0.749 0.249 0.500
Tl1 0.495 0.495 0.000
In1 0.257 0.757 0.500

N(E_F) ... 3.15 states/eV/cell
Space-group type ... No. 44
ΔH_f (0 K) ... -0.290 eV per atom
Electronic total energy ... -4.73 eV/atom

***

## ScTlIn (PBE-GGA)

Data for a geometry-optimized ScTlIn structure.

Cell: 6.711 6.597 3.475 Å, 76.69 73.05 30.26°
Last column: magnetic moment on the atom in μB.
Atoms (fractional coordinates):
In1 0.995 0.995 0.005  0.01
Sc1 0.336 0.336 0.664  0.37
Tl1 0.669 0.669 0.331  0.01

N(E_F) ... 2.17 states/eV/cell
Space-group type ... No. 42
ΔH_f (0 K) ... -0.122 eV per atom
Electronic total energy ... -3.93 eV/atom

***

## ScTl4In (PBE-GGA)

Data for a geometry-optimized ScTl4In structure.

Cell: 6.277 6.277 6.277 Å, 60.00 60.00 60.00°
Atoms (fractional coordinates):
Sc1 0.000 0.000 0.000
Tl1 0.875 0.375 0.375
Tl2 0.375 0.375 0.875
Tl3 0.375 0.875 0.375
Tl4 0.375 0.375 0.375
In1 0.750 0.750 0.750

N(E_F) ... 5.73 states/eV/cell
Space-group type ... No. 216
ΔH_f (0 K) ... 0.215 eV per atom
Electronic total energy ... -2.87 eV/atom

***

## ScTlIn2 (PBE-GGA)

Data for a geometry-optimized ScTlIn2 structure.

Cell: 6.163 6.163 6.163 Å, 145.02 131.34 61.32°
Atoms (fractional coordinates):
In1 0.998 0.998 0.000
In2 0.740 0.240 0.500
Sc1 0.501 0.501 0.000
Tl1 0.261 0.761 0.500

N(E_F) ... 2.26 states/eV/cell
Space-group type ... No. 44
ΔH_f (0 K) ... -0.139 eV per atom
Electronic total energy ... -3.68 eV/atom

***

## Sc2TlIn (PBE-GGA)

Data for a geometry-optimized Sc2TlIn structure.

Cell: 3.239 3.239 8.750 Å, 90.00 90.00 90.00°
Last column: magnetic moment on the atom in μB.
Atoms (fractional coordinates):
Sc1 0.000 0.000 0.997  0.29
Sc2 0.000 0.000 0.503  0.29
Tl1 0.500 0.500 0.250  0.00
In1 0.500 0.500 0.750  -0.01

N(E_F) ... 3.00 states/eV/cell
Space-group type ... No. 123
ΔH_f (0 K) ... -0.344 eV per atom
Electronic total energy ... -4.79 eV/atom

***

## Sc2TlIn (PBE-GGA)

Data for a geometry-optimized Sc2TlIn structure.

Cell: 7.924 7.924 6.475 Å, 52.27 52.27 90.00°
Atoms (fractional coordinates):
Sc1 0.627 0.125 0.250
Sc2 0.123 0.625 0.250
Sc3 0.375 0.373 0.750
Sc4 0.875 0.877 0.750
Tl1 0.000 0.000 0.000
Tl2 0.750 0.250 0.500
In1 0.500 0.500 0.000
In2 0.250 0.750 0.500

N(E_F) ... 9.82 states/eV/cell
Space-group type ... No. 122
ΔH_f (0 K) ... -0.013 eV per atom
Electronic total energy ... -4.45 eV/atom

***

## Sc2Tl2In (PBE-GGA)

Data for a geometry-optimized Sc2Tl2In structure.

Cell: 7.882 7.882 4.101 Å, 90.00 90.00 90.00°
Atoms (fractional coordinates):
Sc1 0.346 0.846 0.000
Sc2 0.846 0.654 0.000
Sc3 0.654 0.154 0.000
Sc4 0.154 0.346 0.000
Tl1 0.151 0.651 0.500
Tl2 0.651 0.849 0.500
Tl3 0.849 0.349 0.500
Tl4 0.349 0.151 0.500
In1 0.000 0.000 0.000
In2 0.500 0.500 0.000

N(E_F) ... 10.01 states/eV/cell
Space-group type ... No. 127
ΔH_f (0 K) ... -0.118 eV per atom
Electronic total energy ... -4.15 eV/atom

***

## ScTlIn2 (PBE-GGA)

Data for a geometry-optimized ScTlIn2 structure.

Cell: 5.261 5.261 5.261 Å, 60.00 60.00 60.00°
Atoms (fractional coordinates):
In1 0.000 0.000 0.000
In2 0.250 0.250 0.250
Sc1 0.500 0.500 0.500
Tl1 0.750 0.750 0.750

N(E_F) ... 4.74 states/eV/cell
Space-group type ... No. 216
ΔH_f (0 K) ... 0.009 eV per atom
Electronic total energy ... -3.53 eV/atom

***

## ScTlIn (PBE-GGA)

Data for a geometry-optimized ScTlIn structure.

Cell: 4.348 4.348 15.687 Å, 90.00 90.00 90.00°
Atoms (fractional coordinates):
Sc1 0.250 0.750 0.843
Sc2 0.250 0.750 0.343
Sc3 0.750 0.250 0.157
Sc4 0.750 0.250 0.657
Tl1 0.250 0.750 0.657
Tl2 0.250 0.750 0.157
Tl3 0.750 0.250 0.343
Tl4 0.750 0.250 0.843
In1 0.250 0.250 0.500
In2 0.250 0.250 0.000
In3 0.750 0.750 0.500
In4 0.750 0.750 0.000

N(E_F) ... 10.11 states/eV/cell
Space-group type ... No. 129
ΔH_f (0 K) ... -0.129 eV per atom
Electronic total energy ... -3.94 eV/atom

***

## ScTlIn2 (PBE-GGA)

Data for a geometry-optimized ScTlIn2 structure.

Cell: 4.542 4.537 4.664 Å, 90.00 90.00 90.00°
Atoms (fractional coordinates):
Sc1 0.500 0.000 0.500
Tl1 0.000 0.500 0.500
In1 0.000 0.000 0.000
In2 0.500 0.500 0.000

N(E_F) ... 1.86 states/eV/cell
Space-group type ... No. 123
ΔH_f (0 K) ... -0.219 eV per atom
Electronic total energy ... -3.76 eV/atom

***

## ScTlIn (PBE-GGA)

Data for a geometry-optimized ScTlIn structure.

Cell: 4.908 4.908 4.908 Å, 60.00 60.00 60.00°
Atoms (fractional coordinates):
In1 0.500 0.500 0.500
Sc1 0.750 0.750 0.750
Tl1 0.000 0.000 0.000

N(E_F) ... 1.99 states/eV/cell
Space-group type ... No. 216
ΔH_f (0 K) ... 0.010 eV per atom
Electronic total energy ... -3.80 eV/atom

***

## Sc4Tl2In (PBE-GGA)

Data for a geometry-optimized Sc4Tl2In structure.

Cell: 4.969 4.969 8.664 Å, 73.34 73.34 60.00°
Atoms (fractional coordinates):
Sc1 0.873 0.873 0.380
Sc2 0.127 0.127 0.620
Sc3 0.621 0.621 0.138
Sc4 0.379 0.379 0.862
Tl1 0.755 0.755 0.736
Tl2 0.245 0.245 0.264
In1 0.000 0.000 0.000

N(E_F) ... 9.47 states/eV/cell
Space-group type ... No. 166
ΔH_f (0 K) ... -0.172 eV per atom
Electronic total energy ... -4.86 eV/atom

***

## ScTlIn4 (PBE-GGA)

Data for a geometry-optimized ScTlIn4 structure.

Cell: 6.074 6.074 6.074 Å, 60.00 60.00 60.00°
Atoms (fractional coordinates):
Sc1 0.750 0.750 0.750
Tl1 0.000 0.000 0.000
In1 0.875 0.375 0.375
In2 0.375 0.375 0.875
In3 0.375 0.875 0.375
In4 0.375 0.375 0.375

N(E_F) ... 4.47 states/eV/cell
Space-group type ... No. 216
ΔH_f (0 K) ... 0.029 eV per atom
Electronic total energy ... -3.25 eV/atom

***

## Sc6TlIn3 (PBE-GGA)

Data for a geometry-optimized Sc6TlIn3 structure.

Cell: 4.971 8.962 10.754 Å, 105.06 90.00 90.00°
Last column: magnetic moment on the atom in μB.
Atoms (fractional coordinates):
Sc1 0.250 0.448 0.087  0.10
Sc2 0.750 0.552 0.913  0.10
Sc3 0.250 0.140 0.188  0.38
Sc4 0.750 0.860 0.812  0.38
Sc5 0.250 0.653 0.686  0.13
Sc6 0.750 0.347 0.314  0.13
Sc7 0.250 0.246 0.502  0.12
Sc8 0.750 0.754 0.498  0.12
Sc9 0.250 0.838 0.298  0.13
Sc10 0.750 0.162 0.702  0.13
Sc11 0.250 0.088 0.891  0.16
Sc12 0.750 0.912 0.109  0.16
Tl1 0.250 0.945 0.611  -0.01
Tl2 0.750 0.055 0.389  -0.01
In1 0.250 0.531 0.387  -0.01
In2 0.750 0.469 0.613  -0.01
In3 0.250 0.373 0.793  0.01
In4 0.750 0.627 0.207  0.01
In5 0.250 0.779 0.978  -0.01
In6 0.750 0.221 0.022  -0.01

N(E_F) ... 22.55 states/eV/cell
Space-group type ... No. 11
ΔH_f (0 K) ... -0.329 eV per atom
Electronic total energy ... -5.19 eV/atom

***

## Sc4TlIn3 (PBE-GGA)

Data for a geometry-optimized Sc4TlIn3 structure.

Cell: 5.302 6.649 10.317 Å, 90.00 90.00 90.00°
Last column: magnetic moment on the atom in μB.
Atoms (fractional coordinates):
Sc1 0.500 0.751 0.000  0.14
Sc2 0.500 0.751 0.500  0.14
Sc3 0.500 0.249 0.000  0.14
Sc4 0.500 0.249 0.500  0.14
Sc5 0.106 0.751 0.750  -0.06
Sc6 0.894 0.751 0.250  -0.06
Sc7 0.894 0.249 0.250  -0.06
Sc8 0.106 0.249 0.750  -0.06
Tl1 0.000 0.500 0.000  0.00
Tl2 0.000 0.500 0.500  0.00
In1 0.000 0.000 0.000  0.00
In2 0.000 0.000 0.500  0.00
In3 0.610 0.000 0.750  0.00
In4 0.390 0.000 0.250  0.00
In5 0.605 0.500 0.750  0.00
In6 0.395 0.500 0.250  0.00

N(E_F) ... 11.62 states/eV/cell
Space-group type ... No. 51
ΔH_f (0 K) ... -0.372 eV per atom
Electronic total energy ... -4.86 eV/atom

***

## Sc5TlIn3 (PBE-GGA)

Data for a geometry-optimized Sc5TlIn3 structure.

Cell: 6.291 8.796 8.796 Å, 120.00 90.00 90.00°
Atoms (fractional coordinates):
Sc1 0.000 0.667 0.333
Sc2 0.500 0.333 0.667
Sc3 0.000 0.333 0.667
Sc4 0.500 0.667 0.333
Sc5 0.750 0.705 0.705
Sc6 0.750 0.000 0.295
Sc7 0.750 0.295 0.000
Sc8 0.250 0.295 0.295
Sc9 0.250 0.000 0.705
Sc10 0.250 0.705 0.000
Tl1 0.000 0.000 0.000
Tl2 0.500 0.000 0.000
In1 0.750 0.372 0.372
In2 0.750 0.000 0.628
In3 0.750 0.628 0.000
In4 0.250 0.628 0.628
In5 0.250 0.000 0.372
In6 0.250 0.372 0.000

N(E_F) ... 15.48 states/eV/cell
Space-group type ... No. 193
ΔH_f (0 K) ... -0.368 eV per atom
Electronic total energy ... -5.06 eV/atom

***

## ScTlIn2 (PBE-GGA)

Data for a geometry-optimized ScTlIn2 structure.

Cell: 3.368 3.368 9.185 Å, 90.00 90.00 89.79°
Last column: magnetic moment on the atom in μB.
Atoms (fractional coordinates):
In1 0.000 0.000 0.033  0.00
In2 0.000 0.000 0.467  0.00
Sc1 0.500 0.500 0.250  -0.17
Tl1 0.500 0.500 0.750  0.00

N(E_F) ... 2.92 states/eV/cell
Space-group type ... No. 65
ΔH_f (0 K) ... -0.147 eV per atom
Electronic total energy ... -3.69 eV/atom

***

## Sc2TlIn (PBE-GGA)

Data for a geometry-optimized Sc2TlIn structure.

Cell: 6.881 6.881 6.881 Å, 56.52 152.11 131.90°
Atoms (fractional coordinates):
Sc1 0.000 0.250 0.250
Sc2 0.000 0.750 0.750
Tl1 0.000 0.500 0.500
In1 0.000 0.000 0.000

N(E_F) ... 4.80 states/eV/cell
Space-group type ... No. 71
ΔH_f (0 K) ... 0.266 eV per atom
Electronic total energy ... -4.18 eV/atom

***

## Sc4TlIn2 (PBE-GGA)

Data for a geometry-optimized Sc4TlIn2 structure.

Cell: 5.486 5.486 7.271 Å, 112.16 112.16 90.00°
Last column: magnetic moment on the atom in μB.
Atoms (fractional coordinates):
Sc1 0.750 0.250 0.500  0.26
Sc2 0.250 0.750 0.500  0.26
Sc3 0.500 0.000 0.000  0.23
Sc4 0.000 0.500 0.000  0.23
Tl1 0.000 0.000 0.000  0.02
In1 0.628 0.628 0.256  0.00
In2 0.372 0.372 0.744  0.00

N(E_F) ... 7.93 states/eV/cell
Space-group type ... No. 139
ΔH_f (0 K) ... 0.019 eV per atom
Electronic total energy ... -4.72 eV/atom